[1]
First-principles (GGA-PBE) data for a relaxed YMgTeN2 crystal, as listed in the Alexandria database.

For the offset from the most stable computed form, the calculation gives 69 meV/atom. The density of states at the Fermi level comes out at 2.38 states/eV/f.u. As for the space group: P4/mmm (123).

abc: 4.257 4.257 5.421
angles: 90.00 90.00 90.00
Fractional coordinates of all 5 atoms:
Y (0.500, 0.500, 0.500)
Te (0.000, 0.000, 0.500)
Mg (0.000, 0.000, 0.000)
N (0.500, 0.000, 0.000)
N (0.000, 0.500, 0.000)

---

[2]
First-principles (GGA-PBE) data for a relaxed MgZnTe2N crystal, as listed in the Alexandria database.

For the offset from the most stable computed form, the calculation gives 159 meV/atom. The density of states at the Fermi level comes out at 4.26 states/eV/f.u. As for the space group: P4/mmm (123).

abc: 5.700 5.700 3.872
angles: 90.00 90.00 90.00
Fractional coordinates of all 5 atoms:
N (0.000, 0.000, 0.500)
Te (0.000, 0.500, 0.000)
Mg (0.000, 0.000, 0.000)
Zn (0.500, 0.500, 0.500)
Te (0.500, 0.000, 0.000)

---

[3]
First-principles (GGA-PBE) data for a relaxed MgZnTe2N crystal, as listed in the Alexandria database.

For the offset from the most stable computed form, the calculation gives 0 meV/atom. The density of states at the Fermi level comes out at 3.39 states/eV/f.u. As for the space group: P4/mmm (123).

abc: 5.743 5.743 3.631
angles: 90.00 90.00 90.00
Fractional coordinates of all 5 atoms:
Te (0.000, 0.500, 0.000)
N (0.000, 0.000, 0.500)
Mg (0.500, 0.500, 0.500)
Zn (0.000, 0.000, 0.000)
Te (0.500, 0.000, 0.000)

---

[4]
First-principles (GGA-PBE) data for a relaxed MgZrTeN2 crystal, as listed in the Alexandria database.

For the offset from the most stable computed form, the calculation gives 0 meV/atom. The density of states at the Fermi level comes out at 2.47 states/eV/f.u. As for the space group: P4/mmm (123).

abc: 4.169 4.169 6.116
angles: 90.00 90.00 90.00
Fractional coordinates of all 5 atoms:
Zr (0.000, 0.000, 0.000)
Mg (0.500, 0.500, 0.500)
N (0.000, 0.500, 0.000)
N (0.500, 0.000, 0.000)
Te (0.000, 0.000, 0.500)

---

[5]
First-principles (GGA-PBE) data for a relaxed MgZrTeN2 crystal, as listed in the Alexandria database.

For the offset from the most stable computed form, the calculation gives 832 meV/atom. The density of states at the Fermi level comes out at 3.33 states/eV/f.u. As for the space group: P4/mmm (123).

abc: 4.095 4.095 5.331
angles: 90.00 90.00 90.00
Fractional coordinates of all 5 atoms:
Te (0.000, 0.000, 0.500)
N (0.000, 0.500, 0.000)
Zr (0.500, 0.500, 0.500)
N (0.500, 0.000, 0.000)
Mg (0.000, 0.000, 0.000)

---

[6]
First-principles (GGA-PBE) data for a relaxed ThMgTlN crystal, as listed in the Alexandria database.

The calculation puts the total energy at -5.72 eV/atom. The density of states at the Fermi level comes out at 2.73 states/eV/f.u. As for the space group: P4/nmm (129).

abc: 4.185 4.185 10.938
angles: 90.00 90.00 90.00
Fractional coordinates of all 8 atoms:
Th (0.500, 0.000, 0.100)
Mg (0.500, 0.500, 0.500)
Tl (0.500, 0.000, 0.705)
N (0.500, 0.500, 0.000)
Tl (0.000, 0.500, 0.295)
N (0.000, 0.000, 0.000)
Th (0.000, 0.500, 0.900)
Mg (0.000, 0.000, 0.500)

---

[7]
First-principles (GGA-PBE) data for a relaxed ThMg2UN4 crystal, as listed in the Alexandria database.

The calculation puts the total energy at -7.99 eV/atom. The density of states at the Fermi level comes out at 5.46 states/eV/f.u. As for the space group: I-4m2 (119).

abc: 4.589 4.589 6.590
angles: 110.38 110.38 90.00
Fractional coordinates of all 8 atoms:
N (0.953, 0.453, 0.906)
Mg (0.250, 0.750, 0.500)
N (0.271, 0.271, 0.542)
N (0.729, 0.729, 0.458)
U (0.750, 0.250, 0.500)
Th (0.500, 0.500, 0.000)
N (0.547, 0.047, 0.094)
Mg (0.000, 0.000, 0.000)

---

[8]
First-principles (GGA-PBE) data for a relaxed ThMgZnN3 crystal, as listed in the Alexandria database.

The calculation puts the total energy at -6.51 eV/atom. The density of states at the Fermi level comes out at 1.20 states/eV/f.u. As for the space group: P2_1/m (11).

abc: 3.437 5.354 8.482
angles: 93.99 90.00 90.00
Fractional coordinates of all 12 atoms:
Mg (0.250, 0.759, 0.047)
Th (0.250, 0.279, 0.321)
Zn (0.750, 0.774, 0.332)
Zn (0.250, 0.226, 0.668)
N (0.250, 0.990, 0.838)
N (0.250, 0.732, 0.463)
Mg (0.750, 0.241, 0.953)
N (0.750, 0.010, 0.162)
N (0.250, 0.511, 0.836)
N (0.750, 0.489, 0.164)
Th (0.750, 0.721, 0.679)
N (0.750, 0.268, 0.537)

---

[9]
First-principles (GGA-PBE) data for a relaxed MgTiN2 crystal, as listed in the Alexandria database.

The calculation puts the total energy at -7.83 eV/atom. As for the space group: Pnma (62).

abc: 4.284 6.125 7.123
angles: 90.00 90.00 90.00
Fractional coordinates of all 16 atoms:
N (0.750, 0.403, 0.860)
Mg (0.750, 0.584, 0.120)
Ti (0.750, 0.577, 0.628)
Ti (0.250, 0.923, 0.128)
Mg (0.250, 0.916, 0.620)
N (0.250, 0.597, 0.140)
N (0.250, 0.571, 0.612)
Mg (0.750, 0.084, 0.380)
Ti (0.250, 0.423, 0.372)
Mg (0.250, 0.416, 0.880)
N (0.750, 0.903, 0.640)
Ti (0.750, 0.077, 0.872)
N (0.250, 0.071, 0.888)
N (0.250, 0.097, 0.360)
N (0.750, 0.929, 0.112)
N (0.750, 0.429, 0.388)

---

[10]
First-principles (GGA-PBE) data for a relaxed MgTiN2 crystal, as listed in the Alexandria database.

The calculation puts the total energy at -7.85 eV/atom. The density of states at the Fermi level comes out at 0.09 states/eV/f.u. As for the space group: R-3m (166).

abc: 5.308 5.308 5.308
angles: 33.16 33.16 33.16
Fractional coordinates of all 4 atoms:
Ti (0.500, 0.167, 0.833)
N (0.243, 0.910, 0.576)
N (0.757, 0.424, 0.090)
Mg (0.000, 0.667, 0.333)

---

[11]
First-principles (GGA-PBE) data for a relaxed Mg2TiN crystal, as listed in the Alexandria database.

The calculation puts the total energy at -5.00 eV/atom. The density of states at the Fermi level comes out at 1.40 states/eV/f.u. As for the space group: I-42d (122).

abc: 8.082 8.082 6.060
angles: 48.18 48.18 90.00
Fractional coordinates of all 8 atoms:
Mg (0.875, 0.748, 0.750)
N (0.250, 0.750, 0.500)
Ti (0.750, 0.250, 0.500)
Ti (0.000, 0.000, 0.000)
Mg (0.375, 0.502, 0.750)
N (0.500, 0.500, 0.000)
Mg (0.498, 0.125, 0.250)
Mg (0.252, 0.625, 0.250)

---

[12]
First-principles (GGA-PBE) data for a relaxed MgTiN2 crystal, as listed in the Alexandria database.

The calculation puts the total energy at -7.70 eV/atom. As for the space group: R3m (160).

abc: 3.012 3.012 5.496
angles: 74.10 74.10 60.00
Fractional coordinates of all 4 atoms:
Ti (0.668, 0.668, 0.996)
N (0.261, 0.261, 0.218)
N (0.076, 0.076, 0.771)
Mg (0.495, 0.495, 0.514)

---

[13]
First-principles (GGA-PBE) data for a relaxed MgTi3N4 crystal, as listed in the Alexandria database.

The calculation puts the total energy at -8.86 eV/atom. The density of states at the Fermi level comes out at 3.00 states/eV/f.u. As for the space group: Cmmm (65).

abc: 3.010 5.225 5.225
angles: 70.75 90.00 90.00
Fractional coordinates of all 8 atoms:
Ti (0.000, 0.000, 0.000)
N (0.500, 0.248, 0.748)
Ti (0.000, 0.500, 0.500)
N (0.000, 0.758, 0.742)
Ti (0.500, 0.000, 0.500)
N (0.000, 0.242, 0.258)
Mg (0.500, 0.500, 0.000)
N (0.500, 0.752, 0.252)

---

[14]
First-principles (GGA-PBE) data for a relaxed MgTi2TlN crystal, as listed in the Alexandria database.

The calculation puts the total energy at -6.21 eV/atom. The density of states at the Fermi level comes out at 3.76 states/eV/f.u. As for the space group: P4/mmm (123).

abc: 4.186 4.186 4.423
angles: 90.00 90.00 90.00
Fractional coordinates of all 5 atoms:
N (0.000, 0.000, 0.000)
Tl (0.500, 0.500, 0.500)
Ti (0.500, 0.000, 0.000)
Mg (0.000, 0.000, 0.500)
Ti (0.000, 0.500, 0.000)